a) Material: InBP2S
Method: DFT, PBE
State: optimized geometry

Lattice parameters (Å, degrees): 4.2568 4.2568 4.4342 90.00 90.00 90.00
Space group P4/mmm (No. 123)
One atom of each set of equivalent atoms:
1 In 0.0000 0.0000 0.0000 (multiplicity 1)
2 B 0.5000 0.5000 0.5000 (multiplicity 1)
3 P 0.0000 0.5000 0.5000 (multiplicity 2)
4 S 0.5000 0.5000 0.0000 (multiplicity 1)

- DOS(E_F): 4.04 states/eV/f.u.

***

b) Material: InBP2S
Method: DFT, PBE
State: optimized geometry

Lattice parameters (Å, degrees): 5.1707 5.1707 5.1916 90.00 90.00 90.00
Space group P4/mmm (No. 123)
One atom of each set of equivalent atoms:
1 In 0.0000 0.0000 0.0000 (multiplicity 1)
2 B 0.5000 0.5000 0.5000 (multiplicity 1)
3 P 0.0000 0.5000 0.0000 (multiplicity 2)
4 S 0.0000 0.0000 0.5000 (multiplicity 1)

- DOS(E_F): 4.18 states/eV/f.u.

***

It is a) that is most stable; the runner-up trails by 1.194 eV/atom.

***

a) Material: InB2Pb2
Method: DFT, PBE
State: optimized geometry

Lattice parameters (Å, degrees): 4.7792 4.7792 9.2084 90.00 90.00 90.00
Space group I4/mmm (No. 139)
One atom of each set of equivalent atoms:
1 In 0.0000 0.0000 0.0000 (multiplicity 2)
2 B 0.0000 0.0000 0.4101 (multiplicity 4)
3 Pb 0.0000 0.5000 0.2500 (multiplicity 4)

- DOS(E_F): 2.06 states/eV/f.u.

***

b) Material: InB2Pb2
Method: DFT, PBE
State: optimized geometry

Lattice parameters (Å, degrees): 6.7623 6.7623 4.4659 90.00 90.00 90.00
Space group P4/mbm (No. 127)
One atom of each set of equivalent atoms:
1 In 0.0000 0.0000 0.0000 (multiplicity 2)
2 B 0.0848 0.4152 0.0000 (multiplicity 4)
3 Pb 0.1877 0.6877 0.5000 (multiplicity 4)

- DOS(E_F): 2.15 states/eV/f.u.

***

It is b) that is most stable; the runner-up trails by 0.059 eV/atom.

***

a) Material: In2BPb
Method: DFT, PBE
State: optimized geometry

Lattice parameters (Å, degrees): 6.8002 6.8002 9.2730 90.00 90.00 90.00
Space group I-42d (No. 122)
One atom of each set of equivalent atoms:
1 In 0.1335 0.2500 0.1250 (multiplicity 8)
2 B 0.0000 0.0000 0.0000 (multiplicity 4)
3 Pb 0.0000 0.0000 0.5000 (multiplicity 4)

- DOS(E_F): 1.48 states/eV/f.u.

***

b) Material: In2BPb
Method: DFT, PBE
State: optimized geometry

Lattice parameters (Å, degrees): 7.2774 7.2774 7.2774 90.00 90.00 90.00
Space group Fm-3m (No. 225)
One atom of each set of equivalent atoms:
1 In 0.2500 0.2500 0.2500 (multiplicity 8)
2 B 0.0000 0.0000 0.0000 (multiplicity 4)
3 Pb 0.0000 0.0000 0.5000 (multiplicity 4)

- DOS(E_F): 2.83 states/eV/f.u.

***

It is a) that is most stable; the runner-up trails by 0.379 eV/atom.

***

a) Material: InB3Pd
Method: DFT, PBE
State: optimized geometry

Lattice parameters (Å, degrees): 4.4157 4.4157 4.4157 90.00 90.00 90.00
Space group Pm-3m (No. 221)
One atom of each set of equivalent atoms:
1 In 0.0000 0.0000 0.0000 (multiplicity 1)
2 B 0.0000 0.0000 0.5000 (multiplicity 3)
3 Pd 0.5000 0.5000 0.5000 (multiplicity 1)

- DOS(E_F): 2.20 states/eV/f.u.

***

b) Material: InB3Pd
Method: DFT, PBE
State: optimized geometry

Lattice parameters (Å, degrees): 4.2013 4.2013 4.2013 90.00 90.00 90.00
Space group Pm-3m (No. 221)
One atom of each set of equivalent atoms:
1 In 0.0000 0.0000 0.0000 (multiplicity 1)
2 B 0.0000 0.5000 0.5000 (multiplicity 3)
3 Pd 0.5000 0.5000 0.5000 (multiplicity 1)

- DOS(E_F): 2.69 states/eV/f.u.

***

It is b) that is most stable; the runner-up trails by 1.005 eV/atom.

***

a) Material: InBPd5
Method: DFT, PBE
State: optimized geometry

Lattice parameters (Å, degrees): 3.8870 3.8870 6.9239 90.00 90.00 90.00
Space group P4/mmm (No. 123)
One atom of each set of equivalent atoms:
1 In 0.0000 0.0000 0.0000 (multiplicity 1)
2 B 0.5000 0.5000 0.5000 (multiplicity 1)
3 Pd 0.0000 0.5000 0.3098 (multiplicity 4)
4 Pd 0.5000 0.5000 0.0000 (multiplicity 1)

- DOS(E_F): 5.29 states/eV/f.u.

***

b) Material: InBPd5
Method: DFT, PBE
State: optimized geometry

Lattice parameters (Å, degrees): 8.7022 8.9907 7.3655 90.00 125.72 90.00
Space group C2/c (No. 15)
One atom of each set of equivalent atoms:
1 In 0.0000 0.1529 0.2500 (multiplicity 4)
2 B 0.0000 0.5000 0.0000 (multiplicity 4)
3 Pd 0.0000 0.3880 0.7500 (multiplicity 4)
4 Pd 0.1099 0.1164 0.9805 (multiplicity 8)
5 Pd 0.2148 0.3723 0.2363 (multiplicity 8)

- DOS(E_F): 2.90 states/eV/f.u.

***

It is a) that is most stable; the runner-up trails by 0.180 eV/atom.

***

a) Material: InB3Pt
Method: DFT, PBE
State: optimized geometry

Lattice parameters (Å, degrees): 4.3766 4.3766 4.3766 90.00 90.00 90.00
Space group Pm-3m (No. 221)
One atom of each set of equivalent atoms:
1 In 0.0000 0.0000 0.0000 (multiplicity 1)
2 B 0.0000 0.0000 0.5000 (multiplicity 3)
3 Pt 0.5000 0.5000 0.5000 (multiplicity 1)

- DOS(E_F): 1.87 states/eV/f.u.

***

b) Material: InB3Pt
Method: DFT, PBE
State: optimized geometry

Lattice parameters (Å, degrees): 4.2286 4.2286 4.2286 90.00 90.00 90.00
Space group Pm-3m (No. 221)
One atom of each set of equivalent atoms:
1 In 0.0000 0.0000 0.0000 (multiplicity 1)
2 B 0.0000 0.5000 0.5000 (multiplicity 3)
3 Pt 0.5000 0.5000 0.5000 (multiplicity 1)

- DOS(E_F): 2.96 states/eV/f.u.

***

It is b) that is most stable; the runner-up trails by 1.332 eV/atom.

***

a) Material: InRe2B
Method: DFT, PBE
State: optimized geometry

Lattice parameters (Å, degrees): 6.1157 6.1157 6.1157 90.00 90.00 90.00
Space group Fm-3m (No. 225)
One atom of each set of equivalent atoms:
1 In 0.0000 0.0000 0.0000 (multiplicity 4)
2 Re 0.2500 0.2500 0.2500 (multiplicity 8)
3 B 0.0000 0.0000 0.5000 (multiplicity 4)

- DOS(E_F): 5.49 states/eV/f.u.

***

b) Material: InRe2B
Method: DFT, PBE
State: optimized geometry

Lattice parameters (Å, degrees): 4.0643 4.0643 16.7373 90.00 90.00 90.00
Space group I-42d (No. 122)
One atom of each set of equivalent atoms:
1 In 0.0000 0.0000 0.0000 (multiplicity 4)
2 Re 0.1530 0.2500 0.6250 (multiplicity 8)
3 B 0.0000 0.0000 0.5000 (multiplicity 4)

- DOS(E_F): 1.20 states/eV/f.u.

***

It is b) that is most stable; the runner-up trails by 0.183 eV/atom.

***

a) Material: InRe3B
Method: DFT, PBE
State: optimized geometry

Lattice parameters (Å, degrees): 4.2027 4.2027 4.2027 90.00 90.00 90.00
Space group Pm-3m (No. 221)
One atom of each set of equivalent atoms:
1 In 0.0000 0.0000 0.0000 (multiplicity 1)
2 Re 0.0000 0.5000 0.5000 (multiplicity 3)
3 B 0.5000 0.5000 0.5000 (multiplicity 1)

- DOS(E_F): 4.45 states/eV/f.u.

***

b) Material: InRe3B
Method: DFT, PBE
State: optimized geometry

Lattice parameters (Å, degrees): 4.8728 4.8728 4.8728 90.00 90.00 90.00
Space group Pm-3m (No. 221)
One atom of each set of equivalent atoms:
1 In 0.0000 0.0000 0.0000 (multiplicity 1)
2 Re 0.0000 0.0000 0.5000 (multiplicity 3)
3 B 0.5000 0.5000 0.5000 (multiplicity 1)

- DOS(E_F): 8.00 states/eV/f.u.

***

It is a) that is most stable; the runner-up trails by 3.547 eV/atom.

***

a) Material: In3ReB
Method: DFT, PBE
State: optimized geometry

Lattice parameters (Å, degrees): 5.2192 5.2192 5.2192 90.00 90.00 90.00
Space group Pm-3m (No. 221)
One atom of each set of equivalent atoms:
1 In 0.0000 0.0000 0.5000 (multiplicity 3)
2 Re 0.0000 0.0000 0.0000 (multiplicity 1)
3 B 0.5000 0.5000 0.5000 (multiplicity 1)

- DOS(E_F): 3.71 states/eV/f.u.

***

b) Material: In3ReB
Method: DFT, PBE
State: optimized geometry

Lattice parameters (Å, degrees): 4.6444 4.6444 4.6444 90.00 90.00 90.00
Space group Pm-3m (No. 221)
One atom of each set of equivalent atoms:
1 In 0.0000 0.0000 0.5000 (multiplicity 3)
2 Re 0.5000 0.5000 0.5000 (multiplicity 1)
3 B 0.0000 0.0000 0.0000 (multiplicity 1)

- DOS(E_F): 4.95 states/eV/f.u.

***

It is b) that is most stable; the runner-up trails by 0.072 eV/atom.

***

a) Material: InReB3
Method: DFT, PBE
State: optimized geometry

Lattice parameters (Å, degrees): 4.2264 4.2264 4.2264 90.00 90.00 90.00
Space group Pm-3m (No. 221)
One atom of each set of equivalent atoms:
1 In 0.0000 0.0000 0.0000 (multiplicity 1)
2 Re 0.5000 0.5000 0.5000 (multiplicity 1)
3 B 0.0000 0.5000 0.5000 (multiplicity 3)

- DOS(E_F): 2.17 states/eV/f.u.

***

b) Material: InReB3
Method: DFT, PBE
State: optimized geometry

Lattice parameters (Å, degrees): 4.2262 4.2262 4.2262 90.00 90.00 90.00
Space group Pm-3m (No. 221)
One atom of each set of equivalent atoms:
1 In 0.0000 0.0000 0.0000 (multiplicity 1)
2 Re 0.5000 0.5000 0.5000 (multiplicity 1)
3 B 0.0000 0.0000 0.5000 (multiplicity 3)

- DOS(E_F): 7.49 states/eV/f.u.

***

It is a) that is most stable; the runner-up trails by 2.060 eV/atom.

***

a) Material: InBS
Method: DFT, PBE
State: optimized geometry

Lattice parameters (Å, degrees): 5.2926 3.0528 7.7802 90.00 103.44 90.00
Space group Cm (No. 8)
One atom of each set of equivalent atoms:
1 In 0.0000 0.0000 0.0000 (multiplicity 2)
2 B 0.3927 0.5000 0.6877 (multiplicity 2)
3 S 0.1891 0.0000 0.5798 (multiplicity 2)

- DOS(E_F): 0.20 states/eV/f.u.

***

b) Material: InBS
Method: DFT, PBE
State: optimized geometry

Lattice parameters (Å, degrees): 4.1198 5.1944 5.7432 93.08 99.11 103.70
Space group P-1 (No. 2)
One atom of each set of equivalent atoms:
1 In 0.1767 0.2531 0.2224 (multiplicity 2)
2 B 0.3747 0.0113 0.8790 (multiplicity 2)
3 S 0.3610 0.2981 0.7018 (multiplicity 2)

***

c) Material: InBS
Method: DFT, PBE
State: optimized geometry

Lattice parameters (Å, degrees): 3.0120 6.2934 7.0083 69.06 78.59 76.16
Space group P-1 (No. 2)
One atom of each set of equivalent atoms:
1 In 0.2439 0.2085 0.3000 (multiplicity 2)
2 B 0.4856 0.1192 0.9021 (multiplicity 2)
3 S 0.0302 0.7248 0.2339 (multiplicity 2)

- DOS(E_F): 0.50 states/eV/f.u.

***

d) Material: InBS
Method: DFT, PBE
State: optimized geometry

Lattice parameters (Å, degrees): 3.7116 5.5939 6.5057 82.14 73.44 71.00
Space group P-1 (No. 2)
One atom of each set of equivalent atoms:
1 In 0.2464 0.2435 0.2588 (multiplicity 2)
2 B 0.4285 0.5090 0.6328 (multiplicity 2)
3 S 0.4628 0.2408 0.8265 (multiplicity 2)

- DOS(E_F): 0.75 states/eV/f.u.

***

It is c) that is most stable; the runner-up trails by 0.174 eV/atom.

***

a) Material: InB2S
Method: DFT, PBE
State: optimized geometry

Lattice parameters (Å, degrees): 5.0179 5.0179 9.2650 90.00 90.00 90.00
Space group I-42d (No. 122)
One atom of each set of equivalent atoms:
1 In 0.0000 0.0000 0.0000 (multiplicity 4)
2 B 0.1850 0.2500 0.6250 (multiplicity 8)
3 S 0.0000 0.0000 0.5000 (multiplicity 4)

- DOS(E_F): 1.33 states/eV/f.u.

***

b) Material: InB2S
Method: DFT, PBE
State: optimized geometry

Lattice parameters (Å, degrees): 6.1192 6.1192 6.1192 90.00 90.00 90.00
Space group Fm-3m (No. 225)
One atom of each set of equivalent atoms:
1 In 0.0000 0.0000 0.0000 (multiplicity 4)
2 B 0.2500 0.2500 0.2500 (multiplicity 8)
3 S 0.0000 0.0000 0.5000 (multiplicity 4)

- DOS(E_F): 2.89 states/eV/f.u.

***

It is a) that is most stable; the runner-up trails by 1.116 eV/atom.